LaErGa2Au5, relaxed, DFT GGA-PBE; E_form = -0.51 eV per atom; volume = 194.1 Å³/f.u.; SG = P4/mmm, No. 123; VASP energy = -4.059 eV per atom; crystal system = tetragonal; DOS at the Fermi energy = 0.46 states/eV per atom
1.0
4.801 0.000 0.000
0.000 4.801 0.000
0.000 0.000 8.421
La Au Er Ga
1 5 1 2
Direct
0.000 0.000 0.500 La
0.500 0.500 0.500 Au
0.000 0.500 0.252 Au
0.500 0.000 0.252 Au
0.500 0.000 0.748 Au
0.000 0.500 0.748 Au
0.000 0.000 0.000 Er
0.500 0.500 0.148 Ga
0.500 0.500 0.852 Ga

LaErGaAu, relaxed, DFT GGA-PBE; E_form = -0.65 eV per atom; volume = 100.8 Å³/f.u.; SG = F-43m, No. 216; VASP energy = -4.602 eV per atom; crystal system = cubic; DOS at the Fermi energy = 0.80 states/eV per atom
1.0
-3.370 2.474 -3.132
-0.971 -1.863 -4.783
-4.636 -2.156 -1.071
Au Er Ga La
1 1 1 1
Direct
0.750 0.750 0.750 Au
0.000 0.000 0.000 Er
0.250 0.250 0.250 Ga
0.500 0.500 0.500 La

La2ErGa3Au4, relaxed, DFT GGA-PBE; E_form = -0.71 eV per atom; volume = 228.8 Å³/f.u.; SG = P-4m2, No. 115; VASP energy = -4.366 eV per atom; crystal system = tetragonal; DOS at the Fermi energy = 0.76 states/eV per atom
1.0
-1.238 0.694 4.218
3.067 -2.915 1.380
7.729 8.541 0.862
Er Ga Au La
1 3 4 2
Direct
0.500 0.500 0.500 Er
0.000 0.500 0.125 Ga
0.000 0.000 0.500 Ga
0.500 0.000 0.875 Ga
0.500 0.000 0.654 Au
0.000 0.000 0.000 Au
0.000 0.500 0.346 Au
0.500 0.500 0.000 Au
0.000 0.500 0.779 La
0.500 0.000 0.221 La

LiErGaAu, relaxed, DFT GGA-PBE; E_form = -0.58 eV per atom; volume = 77.9 Å³/f.u.; SG = F-43m, No. 216; VASP energy = -3.779 eV per atom; crystal system = cubic; DOS at the Fermi energy = 0.41 states/eV per atom
1.0
4.794 0.000 0.000
2.397 4.152 0.000
2.397 1.384 3.914
Li Au Er Ga
1 1 1 1
Direct
0.500 0.500 0.500 Li
0.750 0.750 0.750 Au
0.000 0.000 0.000 Er
0.250 0.250 0.250 Ga